# Tb6Te3AuSe2 (GGA-PBE, optimized geometry)
# Energy relative to the elements, uncorrected = -1422 meV/atom
# Energy = -5.38 eV/atom
# Crystal system = monoclinic
data_Tb6Te3AuSe2
_space_group_name_H-M_alt 'C 1 2/m 1'
_space_group_IT_number 12
_cell_length_a 7.3635
_cell_length_b 12.7232
_cell_length_c 7.4572
_cell_angle_alpha 90.00
_cell_angle_beta 109.09
_cell_angle_gamma 90.00
loop_
_space_group_symop_operation_xyz
'x,y,z'
'-x,-y,-z'
'-x,y,-z'
'x,-y,z'
'x+1/2,y+1/2,z'
'-x+1/2,-y+1/2,-z'
'-x+1/2,y+1/2,-z'
'x+1/2,-y+1/2,z'
loop_
_atom_site_label
_atom_site_type_symbol
_atom_site_fract_x
_atom_site_fract_y
_atom_site_fract_z
_atom_site_occupancy
Tb1 Tb 0.2383 0.1641 0.2248 1
Tb2 Tb 0.2482 0.5000 0.2275 1
Te1 Te 0.0000 0.1705 0.5000 1
Te2 Te 0.0000 0.5000 0.5000 1
Au1 Au 0.0000 0.0000 0.0000 1
Se1 Se 0.0000 0.3347 0.0000 1